First-principles (SCAN) data for a PBEsol-optimized structure of K2IrBr, as listed in the Alexandria database.

Calculated values
D(E_F) in states/eV/atom: 0.08
Space-group type: No. 123
Uncorrected formation energy in eV/atom: 0.1339
Polymorph energy (0 for the lowest one) in meV per atom: 153

a b c (Å): 4.6453 4.6453 6.7159
angles (deg): 90.00 90.00 90.00
Site moments in Bohr magnetons follow the coordinates.
Sites, in units of the cell vectors:
K: 0.5000 0.5000 0.0000  0.00
Br: 0.0000 0.0000 0.0000  0.01
K: 0.0000 0.0000 0.5000  0.00
Ir: 0.5000 0.5000 0.5000  1.85

First-principles (SCAN) data for a PBEsol-optimized structure of As2Pb, as listed in the Alexandria database.

Calculated values
D(E_F) in states/eV/atom: 0.31
ΔH_f (0 K) in meV per atom: 44.0
Space-group type: No. 63
Polymorph energy (0 for the lowest one) in meV per atom: 0

a b c (Å): 3.5234 5.3783 7.9857
angles (deg): 90.00 102.74 90.00
Sites, in units of the cell vectors:
As: 0.0019 0.7500 0.0039
As: 0.3874 0.2500 0.7747
Pb: 0.6913 0.2500 0.3826
As: 0.6126 0.7500 0.2253
Pb: 0.3087 0.7500 0.6174
As: 0.9981 0.2500 0.9961

First-principles (SCAN) data for a PBEsol-optimized structure of TiP2HO, as listed in the Alexandria database.

Calculated values
D(E_F) in states/eV/atom: 0.26
Space-group type: No. 123

a b c (Å): 3.3028 3.3028 4.6517
angles (deg): 90.00 90.00 90.00
Sites, in units of the cell vectors:
O: 0.0000 0.0000 0.5000
P: 0.0000 0.5000 0.0000
Ti: 0.5000 0.5000 0.5000
H: 0.0000 0.0000 0.0000
P: 0.5000 0.0000 0.0000

First-principles (SCAN) data for a PBEsol-optimized structure of Ag2PHO4, as listed in the Alexandria database.

Calculated values
D(E_F) in states/eV/atom: 0.00
Space-group type: No. 151

a b c (Å): 6.3798 6.3798 8.3233
angles (deg): 90.00 90.00 120.00
Sites, in units of the cell vectors:
O: 0.1689 0.4708 0.8737
Ag: 0.0662 0.1323 0.6667
Ag: 0.8054 0.1946 0.3333
Ag: 0.3893 0.1946 0.0000
O: 0.4070 0.2519 0.2559
O: 0.8450 0.2519 0.0774
H: 0.3481 0.6961 0.1667
P: 0.0084 0.5042 0.0000
O: 0.5292 0.6981 0.2070
P: 0.4958 0.5042 0.3333
H: 0.3481 0.6519 0.8333
O: 0.4070 0.1550 0.7441
Ag: 0.8677 0.9338 0.0000
O: 0.1689 0.6981 0.1263
O: 0.3019 0.4708 0.4597
O: 0.7481 0.1550 0.5892
O: 0.3019 0.8311 0.5403
Ag: 0.0662 0.9338 0.3333
H: 0.3039 0.6519 0.5000
Ag: 0.8054 0.6107 0.6667
O: 0.7481 0.5930 0.4108
O: 0.5292 0.8311 0.7930
P: 0.4958 0.9916 0.6667
O: 0.8450 0.5930 0.9226

First-principles (SCAN) data for a PBEsol-optimized structure of Na2SbSO4F3, as listed in the Alexandria database.

Calculated values
D(E_F) in states/eV/atom: 0.00
Space-group type: No. 64
Uncorrected formation energy in eV/atom: -2.2068

a b c (Å): 7.1389 8.3018 11.0687
angles (deg): 90.00 90.00 115.47
Sites, in units of the cell vectors:
O: 0.9577 0.2441 0.9738
F: 0.8795 0.0000 0.3777
F: 0.5960 0.8132 0.2153
F: 0.1205 0.0000 0.6223
Na: 0.6171 0.2343 0.0000
Na: 0.4664 0.5000 0.2500
F: 0.7172 0.8132 0.7153
O: 0.7767 0.4759 0.6063
S: 0.3188 0.6376 0.5000
S: 0.1812 0.3624 0.0000
Na: 0.3829 0.7657 0.0000
Sb: 0.6073 0.0000 0.3329
Na: 0.1171 0.2343 0.5000
O: 0.5423 0.7559 0.4738
O: 0.7233 0.5241 0.1063
O: 0.2233 0.5241 0.3937
F: 0.0960 0.8132 0.2847
O: 0.6992 0.4759 0.3937
Sb: 0.1073 0.0000 0.1671
O: 0.2864 0.2441 0.0262
O: 0.4577 0.2441 0.5262
S: 0.8188 0.6376 0.0000
F: 0.2828 0.1868 0.2847
O: 0.0423 0.7559 0.0262
F: 0.6205 0.0000 0.8777
Na: 0.8829 0.7657 0.5000
S: 0.6812 0.3624 0.5000
Na: 0.0336 0.5000 0.7500
Sb: 0.8927 0.0000 0.8329
O: 0.1992 0.4759 0.1063
O: 0.3008 0.5241 0.6063
F: 0.4040 0.1868 0.7847
O: 0.2136 0.7559 0.5262
Sb: 0.3927 0.0000 0.6671
O: 0.7864 0.2441 0.4738
F: 0.7828 0.1868 0.2153
F: 0.9040 0.1868 0.7153
Na: 0.5336 0.5000 0.7500
F: 0.2172 0.8132 0.7847
O: 0.7136 0.7559 0.9738
F: 0.3795 0.0000 0.1223
O: 0.2767 0.4759 0.8937
Na: 0.9664 0.5000 0.2500
O: 0.8008 0.5241 0.8937

First-principles (SCAN) data for a PBEsol-optimized structure of ZrTe3F, as listed in the Alexandria database.

Calculated values
D(E_F) in states/eV/atom: 0.88
Space-group type: No. 221
Uncorrected formation energy in eV/atom: -0.0345

a b c (Å): 4.8806 4.8806 4.8806
angles (deg): 90.00 90.00 90.00
Site moments in Bohr magnetons follow the coordinates.
Sites, in units of the cell vectors:
F: 0.0000 0.0000 0.0000  0.02
Te: 0.5000 0.0000 0.0000  -0.10
Te: 0.0000 0.0000 0.5000  -0.10
Te: 0.0000 0.5000 0.0000  -0.10
Zr: 0.5000 0.5000 0.5000  1.06

First-principles (SCAN) data for a PBEsol-optimized structure of KHg2Br, as listed in the Alexandria database.

Calculated values
Space-group type: No. 8
Uncorrected formation energy in eV/atom: -0.8182
Polymorph energy (0 for the lowest one) in meV per atom: 43

a b c (Å): 5.0801 5.2225 6.0691
angles (deg): 114.00 90.00 119.10
Sites, in units of the cell vectors:
Br: 0.7519 0.5038 0.2563
Hg: 0.2692 0.5383 0.8121
Hg: 0.9829 0.9658 0.9447
K: 0.4960 0.9921 0.4869

First-principles (SCAN) data for a PBEsol-optimized structure of MoAsI2, as listed in the Alexandria database.

Calculated values
D(E_F) in states/eV/atom: 0.30
Space-group type: No. 122
Uncorrected formation energy in eV/atom: 0.2643

a b c (Å): 4.8245 7.3802 7.3802
angles (deg): 83.87 70.92 70.92
Site moments in Bohr magnetons follow the coordinates.
Sites, in units of the cell vectors:
I: 0.9831 0.1419 0.6419  -0.02
I: 0.8750 0.3581 0.1419  -0.02
I: 0.3750 0.6419 0.8581  -0.02
Mo: 0.0000 0.0000 0.0000  1.42
As: 0.2500 0.5000 0.5000  -0.19
As: 0.5000 0.0000 0.0000  -0.19
I: 0.7669 0.8581 0.3581  -0.02
Mo: 0.7500 0.5000 0.5000  1.42

| no. | total energy (eV/cell) |
| --- | --- |
| 1 | -106.7 |
| 2 | -232.1 |
| 3 | -47.4 |
| 4 | -337.8 |
| 5 | -460.6 |
| 6 | -146.2 |
| 7 | -167.4 |
| 8 | -255.0 |